Entry 1:
18
Lattice="-0.027 -3.922 4.390 0.042 -4.849 -4.332 6.503 0.012 0.050" Properties=species:S:1:pos:R:3 comment="NaHo2AuO5, relaxed, DFT PBE" rho_g_cm3=8.4 crystal_system=tetragonal raw_formation_energy_ev_per_atom=-2.2316 space_group="P4/mbm, No. 127" volume_a3_per_atom=13.8 final_energy_ev_per_atom=-6.514 pbc="T T T"
Na 3.272 -2.419 -2.141
Na 0.000 0.000 0.000
Ho 1.166 -5.242 -0.729
Ho 2.094 -2.816 1.444
Ho 4.424 -5.944 -1.336
Ho 5.352 -3.518 0.837
Au 3.251 0.006 0.025
Au 0.021 -2.425 -2.166
O 3.259 -4.380 0.054
O -0.013 -1.961 2.195
O 4.147 -1.689 0.584
O 2.384 -5.203 -2.567
O 0.905 -2.781 -0.412
O 5.626 -4.111 -1.571
O 4.134 -3.557 2.675
O 5.613 -5.979 0.520
O 2.371 -7.072 -0.476
O 0.893 -4.649 1.679

Entry 2:
10
Lattice="-13.282 -9.392 9.203 -6.699 -5.590 0.371 8.202 1.093 -2.791" Properties=species:S:1:pos:R:3 comment="Na3LaTc, relaxed, DFT PBE" rho_g_cm3=3.4 crystal_system=monoclinic ef_ev_per_atom=0.3922 space_group="C2/m, No. 12" volume_a3_per_atom=30.0 final_energy_ev_per_atom=-3.458 de_polymorph_ev_per_atom=0.358 pbc="T T T"
Na -6.957 -7.962 4.618
Na -4.821 -5.928 2.165
Na -12.540 -10.892 6.596
Na 0.762 -2.997 0.187
Na -10.158 -9.132 4.804
Na -1.620 -4.757 1.979
Tc -15.252 -12.436 7.780
Tc 3.473 -1.454 -0.996
La -17.166 -13.500 8.568
La 5.388 -0.390 -1.785

Entry 3:
5
Lattice="-1.776 3.694 0.068 -3.043 -1.505 2.298 2.096 0.945 3.394" Properties=species:S:1:pos:R:3 comment="BeIr3Os, relaxed, DFT PBE" rho_g_cm3=18.7 crystal_system=cubic ef_ev_per_atom=0.6245 space_group="Pm-3m, No. 221" volume_a3_per_atom=13.8 final_energy_ev_per_atom=-7.683 de_polymorph_ev_per_atom=0.000 pbc="T T T"
Be 0.000 0.000 0.000
Ir -1.521 -0.753 1.149
Ir 1.048 0.472 1.697
Ir -0.888 1.847 0.034
Os -1.361 1.567 2.881